1 | The following is a meta-GGA SCAN calculation of a PBEsol-optimized structure of BaZrCr3, from Alexandria.

Lattice parameters (Å, degrees): 4.9757 4.9757 4.9757 90.00 90.00 90.00
Fractional coordinates of all 5 atoms:
Cr  0.0000  0.5000  0.0000
Cr  0.0000  0.0000  0.5000
Cr  0.5000  0.0000  0.0000
Ba  0.5000  0.5000  0.5000
Zr  0.0000  0.0000  0.0000

Properties
SG   Pm-3m (221)
Magnetic moment   2.342 μB per atom

---

2 | The following is a meta-GGA SCAN calculation of a PBEsol-optimized structure of BaZrCr3, from Alexandria.

Lattice parameters (Å, degrees): 4.8234 4.8234 4.8234 90.00 90.00 90.00
Fractional coordinates of all 5 atoms:
Cr  0.0000  0.5000  0.0000
Cr  0.0000  0.0000  0.5000
Cr  0.5000  0.0000  0.0000
Ba  0.0000  0.0000  0.0000
Zr  0.5000  0.5000  0.5000

Properties
SG   Pm-3m (221)
Magnetic moment   1.719 μB per atom

---

How do the structures above rank in stability at the extremes? 1 comes first and 2 comes last.